No. 1
Below is a relaxed ZrPtIN2 crystal, with properties calculated at the GGA-PBE level.

Structure (POSCAR):
```
ZrPtIN2
1.0
-1.708 -3.113 1.656
3.493 -1.242 1.268
-0.810 3.410 5.573
Zr I N Pt
1 1 2 1
Cartesian
0.488 -0.473 4.249
-0.405 1.705 2.787
-0.854 -1.556 0.828
1.747 -0.621 0.634
0.000 0.000 0.000
```

Values from the calculation:
**ΔE_f (raw)**: 1.312 eV/atom
**Energy above the lowest structure with this stoichiometry**: 596.4 meV/atom

No. 2
Below is a relaxed ReTcRh crystal, with properties calculated at the GGA-PBE level.

Structure (POSCAR):
```
ReTcRh
1.0
2.739 0.000 0.000
-1.370 2.372 0.000
0.000 0.000 6.736
Rh Tc Re
1 1 1
Cartesian
1.370 0.791 2.242
0.000 1.582 4.522
0.000 0.000 6.708
```

Values from the calculation:
**Energy above the lowest structure with this stoichiometry**: 74.9 meV/atom

No. 3
Below is a relaxed LiSnSe2Br crystal, with properties calculated at the GGA-PBE level.

Structure (POSCAR):
```
LiSnSe2Br
1.0
5.273 0.000 0.000
0.000 5.273 0.000
0.000 0.000 5.778
Sn Se Li Br
1 2 1 1
Cartesian
0.000 0.000 0.000
2.636 0.000 0.000
0.000 2.636 0.000
2.636 2.636 2.889
0.000 0.000 2.889
```

Values from the calculation:
**ΔE_f (raw)**: -0.283 eV/atom
**Energy above the lowest structure with this stoichiometry**: 0.0 meV/atom

No. 4
Below is a relaxed SrNiHg2 crystal, with properties calculated at the GGA-PBE level.

Structure (POSCAR):
```
SrNiHg2
1.0
-2.332 2.645 -0.527
-0.289 -0.937 -3.425
-5.421 -4.445 1.673
Hg Sr Ni
2 1 1
Cartesian
-0.283 -0.232 0.087
-2.428 -1.991 0.749
-5.376 -2.480 -0.721
-2.665 -0.257 -1.558
```

Values from the calculation:
**Final energy**: -2.085 eV/atom

No. 5
Below is a relaxed Tm8Sn3Te4P crystal, with properties calculated at the GGA-PBE level.

Structure (POSCAR):
```
Tm8Sn3Te4P
1.0
-4.129 -7.512 -0.033
6.797 -3.753 3.730
-3.617 6.863 3.646
Sn Tm Te P
3 8 4 1
Cartesian
-0.475 -2.201 3.672
1.590 1.555 3.688
1.334 -5.632 1.849
-1.326 -6.694 1.038
-3.195 -3.147 2.922
-1.757 -1.590 6.287
0.153 -4.995 4.515
0.377 2.293 6.305
-1.102 0.593 2.828
0.808 -2.812 1.056
2.246 -1.254 4.421
-2.065 -3.756 -0.017
-1.808 3.432 1.823
0.000 0.000 0.000
-3.873 -0.324 1.807
3.399 -1.876 1.865
```

Values from the calculation:
**ΔE_f (raw)**: -1.086 eV/atom

No. 6
Below is a relaxed LiDy2ZrSe4 crystal, with properties calculated at the GGA-PBE level.

Structure (POSCAR):
```
LiDy2ZrSe4
1.0
3.978 0.000 0.000
0.000 6.740 -0.099
0.000 2.403 6.596
Li Se Dy Zr
1 4 2 1
Cartesian
1.989 3.370 -0.049
1.989 3.595 4.935
0.000 6.773 4.923
3.978 2.370 1.574
1.989 5.548 1.562
0.000 2.403 6.596
1.989 1.202 3.298
0.000 4.572 3.249
```

Values from the calculation:
**ΔE_f (raw)**: -1.552 eV/atom

No. 7
Below is a relaxed Ag6BiAu crystal, with properties calculated at the GGA-PBE level.

Structure (POSCAR):
```
Ag6BiAu
1.0
-0.759 -2.283 4.276
-5.237 -2.195 -2.102
5.122 -3.137 -0.765
Ag Bi Au
6 1 1
Cartesian
1.735 -1.437 -0.459
1.675 -4.216 -1.954
-0.994 -2.581 -1.555
-2.185 -4.994 -0.239
-2.128 -2.309 1.204
-4.763 -3.414 0.146
0.427 -3.886 0.816
4.258 -3.059 -0.877
```

Values from the calculation:
**Energy above the lowest structure with this stoichiometry**: 19.9 meV/atom

No. 8
Below is a relaxed NdZrNO2 crystal, with properties calculated at the GGA-PBE level.

Structure (POSCAR):
```
NdZrNO2
1.0
-1.350 2.838 5.052
-5.553 -1.402 -0.697
-4.237 -8.318 3.540
O N Nd Zr
8 4 4 4
Cartesian
-9.212 -6.844 6.346
-5.198 -1.664 2.764
-1.928 -0.038 1.549
-3.934 -4.433 2.899
-5.943 -5.217 5.132
-7.206 -2.449 4.997
-4.389 0.130 5.476
-6.751 -7.011 2.419
-4.136 -2.856 5.451
-7.005 -4.025 2.445
-2.134 1.549 4.119
-9.006 -8.430 3.776
-3.059 -0.889 3.534
-5.719 -3.911 7.327
-5.422 -2.970 0.569
-8.081 -5.993 4.361
-5.570 -3.441 3.948
-0.675 1.419 2.526
-2.119 -4.159 1.770
-2.776 -0.701 -0.348
```

Values from the calculation:
**ΔE_f (raw)**: -2.659 eV/atom

No. 9
Below is a relaxed PrDy2Zr crystal, with properties calculated at the GGA-PBE level.

Structure (POSCAR):
```
PrDy2Zr
1.0
3.485 0.000 0.000
1.742 3.018 0.000
1.742 1.006 11.396
Dy Zr Pr
2 1 1
Cartesian
1.742 1.006 8.777
1.742 1.006 2.622
3.485 2.012 0.003
3.485 2.012 5.692
```

Values from the calculation:
**Energy above the lowest structure with this stoichiometry**: 0.0 meV/atom

No. 10
Below is a relaxed HfBeSiAs2 crystal, with properties calculated at the GGA-PBE level.

Structure (POSCAR):
```
HfBeSiAs2
1.0
4.261 0.000 0.000
0.000 4.990 0.000
0.000 0.000 4.261
As Be Hf Si
2 1 1 1
Cartesian
2.131 0.000 0.000
0.000 0.000 2.131
0.000 0.000 0.000
0.000 2.495 0.000
2.131 2.495 2.131
```

Values from the calculation:
**ΔE_f (raw)**: 0.415 eV/atom

No. 11
Below is a relaxed NbVCrTc crystal, with properties calculated at the GGA-PBE level.

Structure (POSCAR):
```
NbVCrTc
1.0
-0.600 -4.140 1.154
3.248 -2.243 1.804
-0.177 -1.078 4.200
Cr Tc Nb V
1 1 1 1
Cartesian
0.618 -1.865 1.790
1.853 -5.595 5.369
0.000 0.000 0.000
1.235 -3.730 3.579
```

Values from the calculation:
**Final energy**: -9.961 eV/atom

No. 12
Below is a relaxed PmDy7Th2 crystal, with properties calculated at the GGA-PBE level.

Structure (POSCAR):
```
PmDy7Th2
1.0
5.523 0.000 0.000
0.000 9.367 -0.649
0.000 -4.806 8.067
Th Dy Pm
2 7 1
Cartesian
2.762 -0.617 5.491
2.762 5.178 1.927
2.762 2.281 3.709
2.762 -0.778 2.281
0.000 -1.827 6.235
2.762 5.339 5.137
2.762 2.175 7.082
0.000 6.388 1.183
2.762 2.386 0.335
0.000 0.000 0.000
```

Values from the calculation:
**Energy above the lowest structure with this stoichiometry**: 305.3 meV/atom

No. 13
Below is a relaxed CaY2Ir crystal, with properties calculated at the GGA-PBE level.

Structure (POSCAR):
```
CaY2Ir
1.0
-0.673 3.721 0.190
-1.325 -0.037 -3.974
-7.849 -1.442 0.422
Ir Y Ca
1 2 1
Cartesian
-7.700 0.613 -1.579
-2.365 1.557 -1.158
-8.446 -1.349 -3.520
-5.098 -0.798 -2.432
```

Values from the calculation:
**Energy above the lowest structure with this stoichiometry**: 59.0 meV/atom

No. 14
Below is a relaxed Ce2AgGe crystal, with properties calculated at the GGA-PBE level.

Structure (POSCAR):
```
Ce2AgGe
1.0
4.208 0.000 0.000
2.104 3.644 0.000
2.104 1.215 7.535
Ce Ag Ge
2 1 1
Cartesian
6.312 3.644 5.838
2.104 1.215 1.697
4.208 2.429 3.768
0.000 0.000 0.000
```

Values from the calculation:
**Final energy**: -5.070 eV/atom

No. 15
Below is a relaxed Sr2AlF8 crystal, with properties calculated at the GGA-PBE level.

Structure (POSCAR):
```
Sr2AlF8
1.0
-2.095 -1.717 1.971
6.763 -1.957 5.484
0.377 5.753 2.567
Sr Al F
2 1 8
Cartesian
0.803 1.912 5.367
4.242 0.167 4.654
-1.047 -0.859 0.985
0.664 0.237 0.913
3.068 -2.022 4.346
2.708 0.718 6.352
2.337 1.361 3.670
1.977 4.101 5.675
0.322 3.469 3.366
4.723 -1.390 6.656
4.381 1.842 9.109
```

Values from the calculation:
**ΔE_f (raw)**: -3.220 eV/atom
**Energy above the lowest structure with this stoichiometry**: 69.3 meV/atom

No. 16
Below is a relaxed SnWS2 crystal, with properties calculated at the GGA-PBE level.

Structure (POSCAR):
```
SnWS2
1.0
1.882 0.000 8.948
-0.941 1.630 8.948
-0.941 -1.630 8.948
S Sn W
2 1 1
Cartesian
0.000 0.000 23.933
0.000 0.000 2.912
0.000 0.000 0.000
0.000 0.000 13.422
```

Values from the calculation:
**ΔE_f (raw)**: -0.348 eV/atom

No. 17
Below is a relaxed Cs2CdAs2S6 crystal, with properties calculated at the GGA-PBE level.

Structure (POSCAR):
```
Cs2CdAs2S6
1.0
-1.477 1.165 -6.733
-4.004 -5.712 3.519
-3.681 6.215 1.883
As S Cs Cd
2 6 2 1
Cartesian
-8.312 0.733 -1.679
-0.850 0.935 0.348
-4.550 5.078 -3.483
-6.393 1.611 -1.948
-3.846 4.522 -0.272
-2.769 0.058 0.618
-4.612 -3.410 2.152
-5.317 -2.854 -1.058
-3.437 -0.350 -2.936
-5.725 2.018 1.605
-2.579 3.690 -2.425
```

Values from the calculation:
**ΔE_f (raw)**: -0.498 eV/atom

No. 18
Below is a relaxed RhWCl crystal, with properties calculated at the GGA-PBE level.

Structure (POSCAR):
```
RhWCl
1.0
2.919 0.000 0.000
-1.459 2.528 0.000
0.000 0.000 6.529
Cl W Rh
1 1 1
Cartesian
0.000 0.000 6.315
0.000 1.685 4.389
1.459 0.843 2.355
```

Values from the calculation:
**ΔE_f (raw)**: 0.116 eV/atom
**Energy above the lowest structure with this stoichiometry**: 0.0 meV/atom

No. 19
Below is a relaxed Co2Ni3Pt crystal, with properties calculated at the GGA-PBE level.

Structure (POSCAR):
```
Co2Ni3Pt
1.0
-2.634 -4.353 -0.524
-0.636 -2.062 -4.638
4.202 -5.429 -0.983
Pt Co Ni
2 4 6
Cartesian
0.253 -8.606 -4.671
0.679 -3.238 -1.474
0.000 0.000 0.000
-0.318 -1.031 -2.319
-1.635 -3.208 -2.581
-1.317 -2.177 -0.262
0.297 -4.249 -3.793
0.636 -7.595 -2.352
-0.689 -5.381 -1.762
-1.003 -6.399 -4.052
1.622 -6.464 -4.383
1.936 -5.446 -2.093
```

Values from the calculation:
**Energy above the lowest structure with this stoichiometry**: 0.0 meV/atom

No. 20
Below is a relaxed CaMoIr2 crystal, with properties calculated at the GGA-PBE level.

Structure (POSCAR):
```
CaMoIr2
1.0
3.615 0.000 0.000
0.000 4.335 0.000
0.000 0.000 4.335
Ir Ca Mo
2 1 1
Cartesian
0.000 0.000 0.000
0.000 2.167 2.167
1.808 0.000 2.167
1.808 2.167 0.000
```

Values from the calculation:
**Energy above the lowest structure with this stoichiometry**: 395.1 meV/atom